Record 1
The following is a DFT calculation (PBE-GGA) of an optimized crystal structure of Fe2ReSe.

a b c (Å): 4.5494 4.5494 4.3945
angles (deg): 75.06 75.06 38.16
Positions (direct):
Se (0.2509, 0.2509, 0.2680)
Re (0.5026, 0.5026, 0.4599)
Fe (0.7411, 0.7411, 0.8264)
Fe (0.0054, 0.0054, 0.9456)

## Properties
Formation energy without anion corrections: 365 meV per atom
Total moment: 3.966 μB/f.u.
Calculated volume: 13.52 A^3/atom



Record 2
The following is a DFT calculation (PBE-GGA) of an optimized crystal structure of BaAg2I2.

a b c (Å): 5.4895 5.4895 6.7728
angles (deg): 66.09 66.09 90.00
Positions (direct):
Ba (0.0000, 0.0000, 0.0000)
I (0.7500, 0.2500, 0.5000)
I (0.2500, 0.7500, 0.5000)
Ag (0.6176, 0.6176, 0.7648)
Ag (0.3824, 0.3824, 0.2352)

## Properties
Formation energy without anion corrections: -579 meV per atom
Total moment: 0.000 μB/f.u.
E above lowest polymorph: 0.00 eV per formula unit
Calculated volume: 33.45 A^3/atom



Record 3
The following is a DFT calculation (PBE-GGA) of an optimized crystal structure of MgTeAs2.

a b c (Å): 7.0197 7.0197 3.9959
angles (deg): 90.15 90.15 32.84
Positions (direct):
As (0.8007, 0.8007, 0.8740)
As (0.9822, 0.9822, 0.8761)
Mg (0.4701, 0.4701, 0.3760)
Te (0.2470, 0.2470, 0.3739)

## Properties
Formation energy without anion corrections: -194 meV per atom
Total moment: 0.000 μB/f.u.
E above lowest polymorph: 0.22 eV per formula unit
Calculated volume: 26.70 A^3/atom



Record 4
The following is a DFT calculation (PBE-GGA) of an optimized crystal structure of DyZnSi2Ni5.

a b c (Å): 3.9086 3.9086 8.2650
angles (deg): 90.00 90.00 90.00
Positions (direct):
Ni (0.5000, 0.0000, 0.7338)
Ni (0.0000, 0.5000, 0.2662)
Ni (0.5000, 0.5000, 0.5000)
Ni (0.0000, 0.5000, 0.7338)
Ni (0.5000, 0.0000, 0.2662)
Dy (0.0000, 0.0000, 0.5000)
Si (0.5000, 0.5000, 0.1375)
Si (0.5000, 0.5000, 0.8625)
Zn (0.0000, 0.0000, 0.0000)

## Properties
Formation energy without anion corrections: -252 meV per atom
Total moment: 0.000 μB/f.u.
Calculated volume: 14.03 A^3/atom



Record 5
The following is a DFT calculation (PBE-GGA) of an optimized crystal structure of LiTa2Ir.

a b c (Å): 2.8148 2.8148 8.8492
angles (deg): 90.00 90.00 90.17
Positions (direct):
Ir (0.5000, 0.5000, 0.2500)
Ta (0.0000, 0.0000, 0.0303)
Ta (0.0000, 0.0000, 0.4697)
Li (0.5000, 0.5000, 0.7500)

## Properties
ΔE_f: 34 meV/atom
Total moment: 0.000 μB/f.u.
Calculated volume: 17.53 A^3/atom



Record 6
The following is a DFT calculation (PBE-GGA) of an optimized crystal structure of Sn2Pd9Pt.

a b c (Å): 4.0273 4.0273 11.9186
angles (deg): 90.00 90.00 90.00
Positions (direct):
Pt (0.0000, 0.0000, 0.0000)
Sn (0.0000, 0.0000, 0.3296)
Sn (0.0000, 0.0000, 0.6704)
Pd (0.5000, 0.5000, 0.3318)
Pd (0.5000, 0.0000, 0.5000)
Pd (0.5000, 0.5000, 0.0000)
Pd (0.0000, 0.5000, 0.8352)
Pd (0.5000, 0.0000, 0.8352)
Pd (0.5000, 0.0000, 0.1648)
Pd (0.0000, 0.5000, 0.5000)
Pd (0.0000, 0.5000, 0.1648)
Pd (0.5000, 0.5000, 0.6682)

## Properties
ΔE_f: -332 meV/atom
Total moment: 0.000 μB/f.u.
Calculated volume: 16.11 A^3/atom